No. 1
An optimized crystal structure of PaGaPd, computed with GGA-PBE.

Cell lengths 3.9643, 4.3426, 6.9664 Å; angles 90.00, 103.43, 90.00 degrees
Space group P2_1/m (No. 11)
Unique sites:
Pa 0.1455 0.2500 0.1319 [2 per cell]
Ga 0.2389 0.7500 0.5051 [2 per cell]
Pd 0.3584 0.2500 0.7546 [2 per cell]


No. 2
An optimized crystal structure of Pa2Ga2Pd3, computed with GGA-PBE.

Cell lengths 4.0208, 19.3822, 7.0783 Å; angles 90.00, 90.00, 90.00 degrees
Space group Cmcm (No. 63)
Unique sites:
Pa 0.0000 0.0629 0.2500 [4 per cell]
Pa 0.0000 0.1498 0.7500 [4 per cell]
Ga 0.0000 0.3081 0.5552 [8 per cell]
Pd 0.0000 0.2294 0.2500 [4 per cell]
Pd 0.0000 0.4347 0.0501 [8 per cell]

Results
ΔE to the lowest computed polymorph: 0.0419 eV per atom


no.,formation enthalpy at 0 K (eV per atom),density (kg/m3)
1,-0.4382,11593
2,-0.5543,11087